A relaxed structure of PuInCo. Source: Alexandria via LeMat-Bulk, functional PBE.

- Uncorrected energy: -8.063 eV/atom
- Formation energy from the elements: 0.00 eV/atom
- Space-group type: I4mm (107)
- Total magnetic moment: 4.63 μB/cell

Lattice parameters (Å, degrees): 3.145 3.145 6.323 104.40 104.40 90.00
Sites, in units of the cell vectors:
Pu: 0.023 0.023 0.046
Co: 0.670 0.670 0.341
In: 0.307 0.307 0.613